(1)
Here is crystalline RePd3 at its relaxed geometry from Alexandria via LeMat-Bulk. Energies are from PBE-GGA.

Values from the calculation:
* formation energy: 0.113 eV per atom

Cell lengths 2.7212, 4.5342, 4.8768 Å; angles 90.00, 90.00, 90.00 degrees
With the nearest neighbours (Å) after each atom.
Space group Pmm2 (No. 25)
Inequivalent atoms, fractional coordinates:
Re 0.0000 0.0000 0.0000 x1  10 Pd 2.70-2.80, 2 Re 2.72
Pd 0.0000 0.5000 0.6988 x1  2 Re 2.70, 10 Pd 2.72-2.84
Pd 0.5000 0.0000 0.5020 x1  8 Pd 2.72-2.81, 4 Re 2.78-2.80
Pd 0.5000 0.5000 0.1870 x1  8 Pd 2.72-2.84, 4 Re 2.80



(2)
Here is crystalline ZrBrCl2 at its relaxed geometry from Alexandria via LeMat-Bulk. Energies are from PBE-GGA.

Values from the calculation:
* uncorrected formation energy: -5.30 eV per formula unit
* energy relative to the lowest polymorph listed for this composition: 0.90 eV per formula unit

Cell lengths 3.2623, 4.8095, 14.9149 Å; angles 90.00, 90.00, 90.00 degrees
With the nearest neighbours (Å) after each atom.
Space group Imm2 (No. 44)
Inequivalent atoms, fractional coordinates:
Zr 0.0000 0.0000 0.0000 x2  6 Cl 2.60-2.91, 2 Br 2.72
Br 0.0000 0.5000 0.6460 x2  2 Zr 2.72
Cl 0.0000 0.0000 0.4985 x2  4 Zr 2.91, 2 Cl 3.13
Cl 0.0000 0.5000 0.3643 x2  2 Zr 2.60



(3)
Here is crystalline AlFe2Te at its relaxed geometry from Alexandria via LeMat-Bulk. Energies are from PBE-GGA.

Values from the calculation:
* uncorrected formation energy: 0.83 eV per formula unit
* energy relative to the lowest polymorph listed for this composition: 0.33 eV per formula unit

Cell lengths 8.2153, 3.0828, 5.3967 Å; angles 90.00, 101.55, 90.00 degrees
With the nearest neighbours (Å) after each atom.
Space group C2/m (No. 12)
Inequivalent atoms, fractional coordinates:
Al 0.0000 0.0000 0.0000 x2  6 Fe 2.45-2.57
Fe 0.2467 0.5000 0.1729 x4  2 Fe 2.43, 3 Al 2.45-2.57
Te 0.0000 0.5000 0.5000 x2  6 Fe 2.89-2.94, 2 Te 3.08, 4 Al 3.11



(4)
Here is crystalline Ac5MgIn4 at its relaxed geometry from Alexandria via LeMat-Bulk. Energies are from PBE-GGA.

Values from the calculation:
* formation energy: -0.348 eV per atom

Cell lengths 4.0910, 4.0910, 20.7198 Å; angles 90.00, 90.00, 90.00 degrees
With the nearest neighbours (Å) after each atom.
Space group P4/mmm (No. 123)
Inequivalent atoms, fractional coordinates:
Ac 0.0000 0.0000 0.0000 x1  8 In 3.56
Ac 0.0000 0.0000 0.2007 x2  8 In 3.57-3.58
Ac 0.0000 0.0000 0.3997 x2  4 In 3.52, 4 Mg 3.56
Mg 0.5000 0.5000 0.5000 x1  8 Ac 3.56
In 0.5000 0.5000 0.0998 x2  8 Ac 3.56-3.57
In 0.5000 0.5000 0.3028 x2  8 Ac 3.52-3.58



(5)
Here is crystalline AcLa2Sm8 at its relaxed geometry from Alexandria via LeMat-Bulk. Energies are from PBE-GGA.

Values from the calculation:
* formation energy: 0.143 eV per atom
* energy relative to the lowest polymorph listed for this composition: 0.21 eV per formula unit

Cell lengths 19.6926, 7.2598, 5.6702 Å; angles 90.00, 93.53, 90.00 degrees
With the nearest neighbours (Å) after each atom.
Space group C2/m (No. 12)
Inequivalent atoms, fractional coordinates:
Ac 0.0000 0.0000 0.0000 x2  10 Sm 3.65-3.96
La 0.2146 0.5000 0.2553 x4  11 Sm 3.36-3.70
Sm 0.0438 0.5000 0.2418 x4  2 Sm 3.15-3.49, 1 La 3.36
Sm 0.1317 0.2693 0.7310 x8  4 Sm 3.35-3.67, 3 La 3.60-3.70, 1 Ac 3.65
Sm 0.1877 0.0000 0.2310 x4  4 La 3.39-3.67, 4 Sm 3.56-3.67



(6)
Here is crystalline CsLiPmTe3 at its relaxed geometry from Alexandria via LeMat-Bulk. Energies are from PBE-GGA.

Values from the calculation:
* uncorrected formation energy: -6.67 eV per formula unit

Cell lengths 4.7865, 18.2673, 10.7932 Å; angles 90.00, 90.00, 90.00 degrees
With the nearest neighbours (Å) after each atom.
Space group Cmcm (No. 63)
Inequivalent atoms, fractional coordinates:
Cs 0.0000 0.2468 0.2500 x4  6 Te 3.84-3.94
Li 0.0000 0.4826 0.2500 x4  4 Te 2.73-2.79
Pm 0.0000 0.0000 0.0000 x4  6 Te 3.15-3.21
Te 0.0000 0.0890 0.7500 x4  2 Li 2.73
Te 0.0000 0.3967 0.5923 x8  1 Li 2.79



One value per record, in order, for DFT total energy: -6.893; -4.804; -5.746; -3.657; -4.559; -3.935 eV per atom.